A | This record from the Alexandria database describes Fe2NiOs after structural relaxation. The functional is PBE.

## Properties
As for the density of states at the Fermi level: 4.8 states/eV/f.u. The value obtained for the calculated volume is 12.11 Å³/atom.

a b c (Å): 4.0919 4.0919 4.0919
angles (deg): 60.00 60.00 60.00
Closest atoms and distances in Å follow each position.
Positions (direct):
Ni 0.5000 0.5000 0.5000  4 Os 2.51, 4 Fe 2.51
Fe 0.2500 0.2500 0.2500  4 Ni 2.51, 4 Fe 2.51
Fe 0.0000 0.0000 0.0000  4 Fe 2.51, 4 Os 2.51
Os 0.7500 0.7500 0.7500  4 Fe 2.51, 4 Ni 2.51

B | This record from the Alexandria database describes Fe2NiOs after structural relaxation. The functional is PBE.

## Properties
As for the density of states at the Fermi level: 4.7 states/eV/f.u. The value obtained for the calculated volume is 12.37 Å³/atom.

a b c (Å): 8.4657 8.4657 8.4657
angles (deg): 17.80 17.80 17.80
Closest atoms and distances in Å follow each position.
Positions (direct):
Fe 0.9971 0.9971 0.9971  3 Ni 2.52, 6 Fe 2.62, 3 Os 2.63
Fe 0.5029 0.5029 0.5029  3 Ni 2.52, 6 Fe 2.62, 3 Os 2.63
Os 0.7500 0.7500 0.7500  6 Os 2.62, 6 Fe 2.63
Ni 0.2500 0.2500 0.2500  6 Fe 2.52, 6 Ni 2.62

C | This record from the Alexandria database describes Fe2NiOs after structural relaxation. The functional is PBE.

## Properties
As for the density of states at the Fermi level: 4.8 states/eV/f.u. The value obtained for the calculated volume is 12.56 Å³/atom.

a b c (Å): 4.3077 4.3077 2.7079
angles (deg): 90.00 90.00 90.00
Closest atoms and distances in Å follow each position.
Positions (direct):
Fe 0.5000 0.5000 0.0000  4 Ni 2.54, 4 Os 2.54, 2 Fe 2.71
Fe 0.0000 0.0000 0.0000  4 Os 2.54, 4 Ni 2.54, 2 Fe 2.71
Os 0.0000 0.5000 0.5000  8 Fe 2.54, 2 Os 2.71
Ni 0.5000 0.0000 0.5000  8 Fe 2.54, 2 Ni 2.71

D | This record from the Alexandria database describes Fe2NiOs after structural relaxation. The functional is PBE.

## Properties
As for the density of states at the Fermi level: 4.7 states/eV/f.u. The value obtained for the calculated volume is 11.94 Å³/atom.

a b c (Å): 2.5990 3.5928 5.1170
angles (deg): 90.00 90.00 90.00
Closest atoms and distances in Å follow each position.
Positions (direct):
Os 0.5000 0.5000 0.7631  6 Fe 2.51-2.61, 2 Os 2.60, 4 Ni 2.62
Fe 0.5000 0.5000 0.2531  2 Os 2.51-2.61, 4 Ni 2.53, 6 Fe 2.59-2.60
Fe 0.0000 0.0000 0.9921  4 Os 2.51, 2 Ni 2.56, 6 Fe 2.59-2.60
Ni 0.0000 0.0000 0.4917  6 Fe 2.53-2.56, 2 Ni 2.60, 4 Os 2.62

Which one sits at the bottom of the stability order? A does.

A | This record from the Alexandria database describes Fe2NiOs after structural relaxation. The functional is PBE.

## Properties
As for the density of states at the Fermi level: 5.0 states/eV/f.u. The value obtained for the calculated volume is 11.93 Å³/atom.

a b c (Å): 3.6353 3.6233 3.6233
angles (deg): 90.00 90.00 90.00
Closest atoms and distances in Å follow each position.
Positions (direct):
Os 0.5000 0.0000 0.5000  4 Ni 2.56, 8 Fe 2.57
Ni 0.5000 0.5000 0.0000  4 Os 2.56, 8 Fe 2.57
Fe 0.0000 0.0000 0.0000  4 Fe 2.56, 4 Ni 2.57, 4 Os 2.57
Fe 0.0000 0.5000 0.5000  4 Fe 2.56, 4 Os 2.57, 4 Ni 2.57

B | This record from the Alexandria database describes Fe2NiOs after structural relaxation. The functional is PBE.

## Properties
As for the density of states at the Fermi level: 4.8 states/eV/f.u. The value obtained for the calculated volume is 12.05 Å³/atom.

a b c (Å): 4.4236 4.4236 4.4598
angles (deg): 80.35 80.35 34.13
Closest atoms and distances in Å follow each position.
Positions (direct):
Fe 0.0001 0.0001 0.0039  3 Os 2.53-2.55, 4 Ni 2.56-2.60, 5 Fe 2.58-2.60
Fe 0.7502 0.7502 0.7433  3 Ni 2.53-2.54, 4 Os 2.58, 5 Fe 2.58-2.60
Ni 0.4993 0.4993 0.5088  7 Fe 2.53-2.60, 3 Os 2.59, 2 Ni 2.60
Os 0.2504 0.2504 0.2440  7 Fe 2.53-2.58, 3 Ni 2.59, 2 Os 2.60

Which one sits at the bottom of the stability order? A does.